This record from Alexandria describes crystalline ZnAs4Pt at its relaxed geometry. The functional is PBE.

Calculated values
As for the formation energy from the elements: 3.41 eV/f.u. As for the theoretical density: 8.050 g cm⁻³. The total energy comes out at -3.751 eV per atom.

Cell lengths 5.467, 5.467, 5.467 Å; angles 60.00, 60.00, 60.00 degrees
Positions (direct):
Zn  0.000  0.000  0.000
As  0.118  0.627  0.627
As  0.627  0.118  0.627
As  0.627  0.627  0.118
As  0.627  0.627  0.627
Pt  0.250  0.250  0.250



This record from Alexandria describes crystalline Zn2AsPt2 at its relaxed geometry. The functional is PBE.

Calculated values
As for the formation energy from the elements: -1.66 eV/f.u. Its polymorph energy (0 for the lowest one) is 0 kJ/mol of formula units. As for the theoretical density: 12.331 g cm⁻³. The total energy comes out at -4.187 eV per atom.

Cell lengths 7.506, 7.506, 2.849 Å; angles 90.00, 90.00, 90.00 degrees
Positions (direct):
Zn  0.128  0.372  0.000
Zn  0.372  0.872  0.000
Zn  0.628  0.128  0.000
Zn  0.872  0.628  0.000
As  0.000  0.000  0.500
As  0.500  0.500  0.500
Pt  0.169  0.669  0.500
Pt  0.331  0.169  0.500
Pt  0.669  0.831  0.500
Pt  0.831  0.331  0.500



This record from Alexandria describes crystalline ZnAsPt2 at its relaxed geometry. The functional is PBE.

Calculated values
As for the formation energy from the elements: -1.00 eV/f.u. Its polymorph energy (0 for the lowest one) is 23 kJ/mol of formula units. As for the theoretical density: 13.988 g cm⁻³. The total energy comes out at -4.751 eV per atom.

Cell lengths 2.960, 3.342, 6.368 Å; angles 90.00, 90.00, 90.00 degrees
Positions (direct):
Zn  0.000  0.000  0.000
As  0.000  0.000  0.500
Pt  0.500  0.500  0.238
Pt  0.500  0.500  0.762



This record from Alexandria describes crystalline ZnAs2Pt2 at its relaxed geometry. The functional is PBE.

Calculated values
As for the formation energy from the elements: -0.01 eV/f.u. Its polymorph energy (0 for the lowest one) is 41 kJ/mol of formula units. As for the theoretical density: 9.979 g cm⁻³. The total energy comes out at -4.533 eV per atom.

Cell lengths 3.905, 3.905, 13.214 Å; angles 90.00, 90.00, 90.00 degrees
Positions (direct):
Zn  0.000  0.000  0.000
Zn  0.500  0.500  0.500
As  0.000  0.000  0.376
As  0.000  0.000  0.624
As  0.500  0.500  0.124
As  0.500  0.500  0.876
Pt  0.000  0.500  0.250
Pt  0.000  0.500  0.750
Pt  0.500  0.000  0.250
Pt  0.500  0.000  0.750



> The highest theoretical density belongs to which entry?

ZnAsPt2



> Which value of total energy does entry 2 give?

-4.187 eV per atom



> Which of these has the highest formation energy from the elements?

ZnAs4Pt